Entry 1:
AlGeH | PBE | relaxed

Geometry as POSCAR:
```
AlGeH
1.0
-0.488 0.744 3.686
3.675 -0.692 0.626
-0.850 3.388 -2.747
H Ge Al
1 1 1
Cartesian
1.775 0.859 2.012 H
2.123 2.457 1.735 Ge
0.553 2.540 -0.440 Al
```

Calculated values
Its polymorph energy (0 for the lowest one) is 186 meV per atom. As for the space group: No. 107.


Entry 2:
Al2GeH6 | PBE | relaxed

Geometry as POSCAR:
```
Al2GeH6
1.0
-2.600 1.841 -3.970
0.242 -2.347 -4.510
-4.050 -2.518 -1.779
Ge H Al
1 6 2
Cartesian
0.000 0.000 0.000 Ge
-2.889 0.235 -4.525 H
-2.763 -0.987 -6.875 H
-4.999 -1.077 -5.452 H
-3.518 -3.259 -5.734 H
-1.408 -1.947 -4.807 H
-3.645 -2.036 -3.384 H
-1.602 -0.756 -2.565 Al
-4.805 -2.268 -7.694 Al
```

Calculated values
Its energy is -27.25 eV for the cell shown. As for the space group: No. 225.


Entry 3:
Al3GeH | PBE | relaxed

Geometry as POSCAR:
```
Al3GeH
1.0
4.159 0.000 0.000
0.000 4.159 0.000
0.000 0.000 4.159
Ge Al H
1 3 1
Cartesian
2.080 2.080 2.080 Ge
0.000 0.000 2.080 Al
0.000 2.080 0.000 Al
2.080 0.000 0.000 Al
0.000 0.000 0.000 H
```

Calculated values
Its polymorph energy (0 for the lowest one) is 0 meV per atom. As for the space group: No. 221.


Entry 4:
AlGeH | PBE | relaxed

Geometry as POSCAR:
```
AlGeH
1.0
-2.214 3.947 1.483
1.061 -1.403 5.319
5.480 3.170 -0.257
Ge H Al
4 4 4
Cartesian
2.035 4.890 5.310 Ge
4.458 3.678 4.507 Ge
2.293 0.824 1.235 Ge
-0.130 2.036 2.038 Ge
-0.483 3.433 5.428 H
4.811 2.281 1.117 H
2.831 3.750 1.900 H
1.496 1.964 4.646 H
0.000 0.000 0.000 Al
0.531 -0.702 2.659 Al
2.164 2.857 3.273 Al
1.633 3.559 0.613 Al
```

Calculated values
Its polymorph energy (0 for the lowest one) is 133 meV per atom. As for the space group: No. 74.


Entry 5:
AlGeH | PBE | relaxed

Geometry as POSCAR:
```
AlGeH
1.0
-0.369 2.751 -0.916
-2.079 0.805 3.259
8.901 1.686 4.869
H Ge Al
2 2 2
Cartesian
7.127 4.280 3.962 H
7.741 4.072 4.345 H
4.730 1.767 3.381 Ge
0.121 2.456 2.663 Ge
2.402 1.021 2.080 Al
2.449 3.208 3.962 Al
```

Calculated values
Its polymorph energy (0 for the lowest one) is 14 meV per atom. As for the space group: No. 1.


Entry 6:
AlGeH | PBE | relaxed

Geometry as POSCAR:
```
AlGeH
1.0
-2.433 -2.978 -0.941
3.982 -4.812 4.936
-7.621 3.273 9.339
Al Ge H
8 8 8
Cartesian
-0.404 -3.389 3.442 Al
-2.999 -0.264 8.582 Al
-6.442 2.766 7.895 Al
-3.848 -0.359 2.754 Al
-1.179 0.506 1.445 Al
-0.641 -1.276 5.693 Al
-6.206 0.653 5.644 Al
-5.668 -1.129 9.892 Al
-5.982 -2.775 11.750 Ge
-3.126 -4.002 8.250 Ge
-6.757 1.120 9.753 Ge
-1.306 -3.232 1.112 Ge
-0.955 -2.922 7.551 Ge
1.901 -4.149 4.051 Ge
-3.900 -0.107 6.253 Ge
-4.163 -2.005 4.613 Ge
-0.122 -5.776 6.101 H
-1.365 -4.274 4.560 H
-0.896 -1.881 4.104 H
-3.959 -1.148 9.700 H
-2.140 -0.378 2.563 H
-7.166 -0.231 6.762 H
-5.923 -1.734 8.303 H
-2.716 -2.651 11.241 H
```

Calculated values
Its polymorph energy (0 for the lowest one) is 0 meV per atom. As for the space group: No. 22.


Entry 7:
AlGeH3 | PBE | relaxed

Geometry as POSCAR:
```
AlGeH3
1.0
-1.889 1.843 -2.743
2.502 -1.265 -2.574
-2.158 -3.080 -0.584
H Al Ge
3 1 1
Cartesian
-0.944 0.922 -1.371 H
1.251 -0.633 -1.287 H
-1.079 -1.540 -0.292 H
-0.772 -1.251 -2.950 Al
0.000 0.000 0.000 Ge
```

Calculated values
Its polymorph energy (0 for the lowest one) is 107 meV per atom. As for the space group: No. 221.


Entry 8:
HfAlGe2H | PBE | relaxed

Geometry as POSCAR:
```
HfAlGe2H
1.0
5.276 0.000 0.000
0.000 3.629 0.000
0.000 0.000 5.276
Ge H Hf Al
2 1 1 1
Cartesian
0.000 0.000 2.638 Ge
2.638 0.000 0.000 Ge
0.000 1.814 0.000 H
0.000 0.000 0.000 Hf
2.638 1.814 2.638 Al
```

Calculated values
Its energy is -24.51 eV for the cell shown. As for the space group: No. 123.


Entry 9:
AlInGeH2 | PBE | relaxed

Geometry as POSCAR:
```
AlInGeH2
1.0
-1.450 0.871 -3.456
3.709 -3.710 -2.491
-2.581 -2.829 0.370
Al In H Ge
1 1 2 1
Cartesian
-0.161 -2.834 -2.789 Al
1.854 -1.855 -1.246 In
-0.725 0.436 -1.728 H
-1.291 -1.415 0.185 H
0.000 0.000 0.000 Ge
```

Calculated values
Its energy is -15.39 eV for the cell shown. As for the space group: No. 123.


Entry 10:
AlGeHIr2 | PBE | relaxed

Geometry as POSCAR:
```
AlGeHIr2
1.0
-2.093 -1.959 -2.814
2.880 -2.523 -0.385
-1.649 -2.315 2.838
Ir H Ge Al
2 1 1 1
Cartesian
-1.046 -0.980 -1.407 Ir
-0.825 -1.157 1.419 Ir
0.000 0.000 0.000 H
1.440 -1.262 -0.193 Ge
-0.431 -3.399 -0.180 Al
```

Calculated values
Its energy is -29.22 eV for the cell shown. As for the space group: No. 123.


Entry 11:
K2Al2Ge2H | PBE | relaxed

Geometry as POSCAR:
```
K2Al2Ge2H
1.0
4.164 0.005 0.005
2.080 5.734 1.329
-0.003 2.675 7.770
Al K Ge H
2 2 2 1
Cartesian
2.080 3.844 1.296 Al
4.160 4.570 7.808 Al
2.078 2.534 5.333 K
4.163 5.880 3.772 K
4.162 2.850 2.410 Ge
2.079 5.564 6.694 Ge
0.000 0.000 0.000 H
```

Calculated values
Its energy is -23.00 eV for the cell shown. As for the space group: No. 12.


Entry 12:
KAl2GeH2 | PBE | relaxed

Geometry as POSCAR:
```
KAl2GeH2
1.0
-2.181 5.239 -1.560
-6.883 -3.691 -2.773
2.790 2.928 5.933
H Ge Al K
4 2 4 2
Cartesian
-3.398 3.469 -0.254 H
-5.368 2.709 -0.051 H
-0.907 1.767 1.651 H
-2.877 1.007 1.854 H
-7.353 1.007 -2.994 Ge
1.078 3.469 4.594 Ge
-1.891 2.577 0.335 Al
-0.827 0.023 1.095 Al
-5.447 4.453 0.505 Al
-4.384 1.899 1.265 Al
-1.191 5.380 3.078 K
-5.084 -0.903 -1.478 K
```

Calculated values
Its energy is -40.06 eV for the cell shown. As for the space group: No. 11.


Taking the records one at a time from the top gives total moment values of 0.0 0.0 0.0 0.0 0.0 0.0 0.0 0.0 0.0 0.0 0.0 0.0 μB per formula unit.